BeSiMo2: relaxed, GGA-PBE.

Properties
Formation energy from raw total energies = -0.001 eV/atom
N(E_F) = 1.70 states/eV per cell
Electronic total energy = -30.81 eV per cell
Mass density = 7164 kg/m3

Lattice parameters (Å, degrees): 3.1383 3.1785 5.3208 90.00 90.00 90.00
Last column: nearest neighbours and their distance in Å.
Space group Pmmm (No. 47)
Inequivalent atoms, fractional coordinates:
Be 0.0000 0.0000 0.0000 x1  8 Mo 2.56, 2 Si 2.66
Si 0.0000 0.0000 0.5000 x1  8 Mo 2.64, 2 Be 2.66
Mo 0.5000 0.5000 0.2352 x2  1 Mo 2.50, 4 Be 2.56, 4 Si 2.64

=====

Be2SiMo: relaxed, GGA-PBE.

Properties
Formation energy from raw total energies = -0.044 eV/atom
N(E_F) = 1.75 states/eV per cell
Electronic total energy = -23.88 eV per cell
Mass density = 5016 kg/m3

Lattice parameters (Å, degrees): 2.7487 3.7294 4.5870 90.00 90.00 90.00
Last column: nearest neighbours and their distance in Å.
Space group Pmmm (No. 47)
Inequivalent atoms, fractional coordinates:
Be 0.0000 0.0000 0.2313 x2  1 Be 2.12, 2 Si 2.24
Si 0.0000 0.5000 0.5000 x1  4 Be 2.24
Mo 0.5000 0.5000 0.0000 x1  8 Be 2.55, 4 Si 2.67, 2 Mo 2.75

=====

Be2SiMo: relaxed, GGA-PBE.

Properties
Formation energy from raw total energies = 0.233 eV/atom
N(E_F) = 7.07 states/eV per cell
Electronic total energy = -91.09 eV per cell
Mass density = 5050 kg/m3

Lattice parameters (Å, degrees): 5.7167 5.7167 5.7167 90.00 90.00 90.00
Last column: nearest neighbours and their distance in Å.
Space group F-43m (No. 216)
Inequivalent atoms, fractional coordinates:
Be 0.0000 0.0000 0.0000 x4  4 Be 2.48, 4 Si 2.48
Be 0.2500 0.2500 0.2500 x4  4 Mo 2.48, 4 Be 2.48
Si 0.2500 0.2500 0.7500 x4  4 Mo 2.48, 4 Be 2.48
Mo 0.0000 0.0000 0.5000 x4  4 Be 2.48, 4 Si 2.48

=====

- Number 3 is which compound?
  Be2SiMo

=====

- What is the electronic total energy in the first record?
  -30.81 eV per cell

=====

What did the second record say?
Be2SiMo: relaxed, GGA-PBE.

Properties
Formation energy from raw total energies = -0.044 eV/atom
N(E_F) = 1.75 states/eV per cell
Electronic total energy = -23.88 eV per cell
Mass density = 5016 kg/m3

Lattice parameters (Å, degrees): 2.7487 3.7294 4.5870 90.00 90.00 90.00
Last column: nearest neighbours and their distance in Å.
Space group Pmmm (No. 47)
Inequivalent atoms, fractional coordinates:
Be 0.0000 0.0000 0.2313 x2  1 Be 2.12, 2 Si 2.24
Si 0.0000 0.5000 0.5000 x1  4 Be 2.24
Mo 0.5000 0.5000 0.0000 x1  8 Be 2.55, 4 Si 2.67, 2 Mo 2.75